Here is DyHfTc after structural relaxation from the Open Quantum Materials Database. Energies are from GGA-PBE. Values from VASP.

Total magnetic moment = 0.00 μB/f.u.
Raw total energy = -7.147 eV per atom

Structure (Quantum ESPRESSO input):
```
&SYSTEM
  ibrav = 0, nat = 3, ntyp = 3
/
ATOMIC_SPECIES
Dy 162.50 Dy.upf
Hf 178.49 Hf.upf
Tc 98.00 Tc.upf
ATOMIC_POSITIONS crystal
Dy 0.000 0.000 0.000
Hf 0.750 0.750 0.750
Tc 0.250 0.250 0.250
CELL_PARAMETERS angstrom
0.000 3.258 3.258
3.258 0.000 3.258
3.258 3.258 0.000
```